(1)
Computed, not measured: a relaxed Pm3Cu2Ge4 crystal at the PBE level of DFT.

Total magnetic moment   0.0002 μB/atom
Symmetry   C2/m
Final energy   -46.6 eV/cell

Cell lengths 5.9100, 5.9100, 8.3436 Å; angles 100.66, 100.66, 41.90 degrees
Element x y z (fractional)
Ge (0.2867, 0.2867, 0.9388)
Ge (0.0625, 0.0625, 0.3869)
Ge (0.7133, 0.7133, 0.0612)
Cu (0.6109, 0.6109, 0.2847)
Ge (0.9375, 0.9375, 0.6131)
Cu (0.3891, 0.3891, 0.7153)
Pm (0.0000, 0.0000, 0.0000)
Pm (0.6611, 0.6611, 0.6679)
Pm (0.3389, 0.3389, 0.3321)

***

(2)
Computed, not measured: a relaxed Rb2ScOsO6 crystal at the PBE level of DFT.

Total magnetic moment   0.0000 μB/atom
Relative energy among the computed polymorphs   2 meV per atom
Symmetry   R-3m

Cell lengths 5.7021, 5.7021, 5.7021 Å; angles 59.76, 59.76, 59.76 degrees
Element x y z (fractional)
Rb (0.7504, 0.7504, 0.7504)
O (0.7621, 0.2373, 0.2358)
O (0.2374, 0.7625, 0.7638)
O (0.7625, 0.7638, 0.2374)
O (0.2358, 0.7621, 0.2373)
Rb (0.2491, 0.2491, 0.2491)
O (0.2373, 0.2358, 0.7621)
Sc (0.4998, 0.4998, 0.4998)
Os (0.9998, 0.9998, 0.9998)
O (0.7638, 0.2374, 0.7625)

***

(3)
Computed, not measured: a relaxed KNaZnGe crystal at the PBE level of DFT.

Relative energy among the computed polymorphs   0 meV per atom
Symmetry   P2_1/m

Cell lengths 6.2125, 5.6884, 6.5001 Å; angles 90.00, 103.88, 90.00 degrees
Element x y z (fractional)
K (0.5478, 0.7500, 0.1944)
Ge (0.7708, 0.7500, 0.7283)
Na (0.1664, 0.7500, 0.5088)
Zn (0.0000, 0.0000, 0.0000)
Na (0.8336, 0.2500, 0.4912)
K (0.4522, 0.2500, 0.8056)
Zn (0.0000, 0.5000, 0.0000)
Ge (0.2292, 0.2500, 0.2717)

***

(4)
Computed, not measured: a relaxed ErAs2O crystal at the PBE level of DFT.

Total magnetic moment   0.0007 μB/atom
Relative energy among the computed polymorphs   195 meV per atom
Symmetry   Pmc2_1

Cell lengths 3.5553, 7.2339, 6.4157 Å; angles 90.00, 90.00, 90.00 degrees
Element x y z (fractional)
Er (0.0000, 0.7160, 0.8864)
O (0.5000, 0.5777, 0.9291)
As (0.0000, 0.7720, 0.3852)
Er (0.0000, 0.2840, 0.3864)
As (0.5000, 0.0487, 0.0533)
As (0.5000, 0.9513, 0.5533)
O (0.5000, 0.4223, 0.4291)
As (0.0000, 0.2280, 0.8852)

***

- Which formula does entry 4 have?
  ErAs2O